1.
La3Pm4Tm5 (GGA-PBE, relaxed); E = -55.85 eV for the cell shown; energy above the most stable polymorph in this dataset = 0 meV/atom; SG = No. 2; N(E_F) = 16.6 states/eV/cell; energy of formation from the pure elements = 0.02 eV/atom; volume = 33.18 A^3/atom
1.0
6.2452 0.0000 0.0000
0.0023 7.2056 0.0000
0.0179 0.0411 8.8481
La Pm Tm
3 4 5
Direct
0.0000 0.0000 0.0000
0.1688 0.2499 0.3321
0.8312 0.7501 0.6679
0.1707 0.7502 0.3324
0.3306 0.4997 0.6710
0.6694 0.5003 0.3290
0.8293 0.2498 0.6676
0.0000 0.5000 0.0000
0.3357 0.0004 0.6703
0.4979 0.7496 0.0005
0.5021 0.2504 0.9995
0.6643 0.9996 0.3297

2.
Tb2Sm5YTh (GGA-PBE, relaxed); E = -90.60 eV for the cell shown; SG = No. 36; N(E_F) = 28.5 states/eV/cell; energy of formation from the pure elements = 0.16 eV/atom; volume = 33.87 A^3/atom
1.0
2.8296 -10.2364 0.0000
2.8296 10.2364 0.0000
0.0000 0.0000 10.5255
Tb Sm Y Th
4 10 2 2
Direct
0.1135 0.8865 0.5000
0.1148 0.8852 0.0790
0.8852 0.1148 0.5790
0.8865 0.1135 0.0000
0.0144 0.9856 0.7844
0.2753 0.7247 0.0788
0.2946 0.7054 0.4708
0.3870 0.6130 0.7914
0.4802 0.5198 0.5091
0.5198 0.4802 0.0091
0.6130 0.3870 0.2914
0.7054 0.2946 0.9708
0.7247 0.2753 0.5788
0.9856 0.0144 0.2844
0.4060 0.5940 0.2213
0.5940 0.4060 0.7213
0.1991 0.8009 0.7779
0.8009 0.1991 0.2779

3.
TmGaIr2 (GGA-PBE, relaxed); E = -27.74 eV for the cell shown; SG = No. 123; N(E_F) = 2.0 states/eV/cell; energy of formation from the pure elements = -0.63 eV/atom; volume = 16.78 A^3/atom
1.0
3.2664 0.0000 0.0000
0.0000 3.2664 0.0000
0.0000 0.0000 6.2899
Tm Ga Ir
1 1 2
Direct
0.0000 0.0000 0.0000
0.0000 0.0000 0.5000
0.5000 0.5000 0.2766
0.5000 0.5000 0.7234

4.
Pr4BSI2 (GGA-PBE, relaxed); formation energy from raw total energies = -1.096 eV per atom; E = -41.79 eV for the cell shown; SG = No. 10; N(E_F) = 2.8 states/eV/cell; volume = 29.03 A^3/atom
1.0
7.1996 0.0000 0.0000
0.0000 4.1378 0.0000
-2.4036 0.0000 7.7953
Pr B S I
4 1 1 2
Direct
0.2109 0.0000 0.1834
0.2519 0.5000 0.8149
0.7481 0.5000 0.1851
0.7891 0.0000 0.8166
0.0000 0.5000 0.0000
0.5000 0.0000 0.0000
0.0000 0.0000 0.5000
0.5000 0.5000 0.5000

5.
CePrPSe (GGA-PBE, relaxed); formation energy from raw total energies = -1.731 eV per atom; E = -26.53 eV for the cell shown; SG = No. 160; N(E_F) = 6.4 states/eV/cell; volume = 26.19 A^3/atom
1.0
2.0877 1.2053 6.9378
-2.0877 1.2053 6.9378
0.0000 -2.4107 6.9378
Ce Pr P Se
1 1 1 1
Direct
0.0000 0.0000 0.0000
0.4887 0.4887 0.4887
0.7423 0.7423 0.7423
0.2464 0.2464 0.2464

6.
LiNiSnHg (GGA-PBE, relaxed); E = -12.68 eV for the cell shown; SG = No. 216; N(E_F) = 2.5 states/eV/cell; energy of formation from the pure elements = -0.17 eV/atom; volume = 16.89 A^3/atom
1.0
0.0000 3.2327 3.2327
3.2327 0.0000 3.2327
3.2327 3.2327 0.0000
Li Ni Sn Hg
1 1 1 1
Direct
0.0000 0.0000 0.0000
0.5000 0.5000 0.5000
0.2500 0.2500 0.2500
0.7500 0.7500 0.7500

7.
Ca2PaPt4 (GGA-PBE, relaxed); E = -42.87 eV for the cell shown; SG = No. 139; N(E_F) = 2.6 states/eV/cell; energy of formation from the pure elements = -0.74 eV/atom; volume = 22.31 A^3/atom
1.0
-2.3421 2.3421 7.1184
2.3421 -2.3421 7.1184
2.3421 2.3421 -7.1184
Ca Pa Pt
2 1 4
Direct
0.2365 0.2365 0.0000
0.7635 0.7635 0.0000
0.5000 0.5000 0.0000
0.1111 0.6111 0.5000
0.3889 0.8889 0.5000
0.6111 0.1111 0.5000
0.8889 0.3889 0.5000

8.
Zr2ScHPt (GGA-PBE, relaxed); E = -35.36 eV for the cell shown; SG = No. 123; N(E_F) = 5.8 states/eV/cell; volume = 16.56 A^3/atom
1.0
4.2778 0.0000 0.0000
0.0000 4.2778 0.0000
0.0000 0.0000 4.5260
Zr Sc H Pt
2 1 1 1
Direct
0.0000 0.5000 0.0000
0.5000 0.0000 0.0000
0.0000 0.0000 0.5000
0.0000 0.0000 0.0000
0.5000 0.5000 0.5000

9.
PmSmEuGd (GGA-PBE, relaxed); E = -33.32 eV for the cell shown; SG = No. 216; N(E_F) = 6.4 states/eV/cell; energy of formation from the pure elements = 0.13 eV/atom; volume = 34.84 A^3/atom
1.0
0.0000 4.1151 4.1151
4.1151 0.0000 4.1151
4.1151 4.1151 0.0000
Pm Sm Eu Gd
1 1 1 1
Direct
0.0000 0.0000 0.0000
0.5000 0.5000 0.5000
0.7500 0.7500 0.7500
0.2500 0.2500 0.2500

10.
TmTl2Te4As (GGA-PBE, relaxed); formation energy from raw total energies = -0.557 eV per atom; E = -30.88 eV for the cell shown; SG = No. 10; N(E_F) = 0.1 states/eV/cell; volume = 33.23 A^3/atom
1.0
7.5679 0.0000 0.0000
0.0000 4.3543 0.0000
-2.5331 0.0000 8.0663
Tm Tl Te As
1 2 4 1
Direct
0.0000 0.0000 0.0000
0.0000 0.5000 0.5000
0.5000 0.0000 0.5000
0.2462 0.5000 0.2061
0.2757 0.0000 0.7998
0.7243 0.0000 0.2002
0.7538 0.5000 0.7939
0.5000 0.5000 0.0000

11.
K2CoOs (GGA-PBE, relaxed); E = -15.08 eV for the cell shown; energy above the most stable polymorph in this dataset = 613 meV/atom; SG = No. 47; N(E_F) = 3.1 states/eV/cell; energy of formation from the pure elements = 1.36 eV/atom; volume = 19.19 A^3/atom
1.0
2.7602 0.0000 0.0000
0.0000 4.8728 0.0000
0.0000 0.0000 5.7081
K Co Os
2 1 1
Direct
0.0000 0.0000 0.0000
0.5000 0.5000 0.0000
0.0000 0.5000 0.5000
0.5000 0.0000 0.5000

12.
Sc2CuGeSb (GGA-PBE, relaxed); formation energy from raw total energies = 0.104 eV per atom; E = -24.98 eV for the cell shown; SG = No. 123; N(E_F) = 3.4 states/eV/cell; volume = 23.27 A^3/atom
1.0
4.9802 0.0000 0.0000
0.0000 4.9802 0.0000
0.0000 0.0000 4.6919
Sc Cu Ge Sb
2 1 1 1
Direct
0.0000 0.5000 0.0000
0.5000 0.0000 0.0000
0.0000 0.0000 0.0000
0.5000 0.5000 0.5000
0.0000 0.0000 0.5000

13.
La2Pr3Mg2 (GGA-PBE, relaxed); E = -27.52 eV for the cell shown; energy above the most stable polymorph in this dataset = 0 meV/atom; SG = No. 12; N(E_F) = 10.2 states/eV/cell; energy of formation from the pure elements = -0.02 eV/atom; volume = 33.31 A^3/atom
1.0
5.9925 -2.7882 0.0000
5.9925 2.7882 0.0000
-0.2580 0.0000 6.9772
La Pr Mg
2 3 2
Direct
0.0989 0.0989 0.3115
0.9011 0.9011 0.6885
0.2073 0.2073 0.8296
0.5000 0.5000 0.0000
0.7927 0.7927 0.1704
0.3802 0.3802 0.4268
0.6198 0.6198 0.5732